[1]
SrSbTe2 PBE relaxed; SG = No. 122
1.0
-3.2516 2.1295 5.2505
-4.9541 -4.0061 -1.4433
-0.4854 -7.1225 6.6520
Sb Te Sr
2 4 2
Direct
0.0000 0.0000 0.0000 Sb
0.7500 0.2500 0.5000 Sb
0.6616 0.1250 0.2500 Te
0.0884 0.6250 0.2500 Te
0.3750 0.3384 0.7500 Te
0.8750 0.9116 0.7500 Te
0.5000 0.5000 0.0000 Sr
0.2500 0.7500 0.5000 Sr

[2]
SrSb3Te6 PBE relaxed; SG = No. 11
1.0
-0.0706 0.3702 -4.2795
3.3845 -13.0535 -1.1850
-13.9700 4.7865 0.6445
Sr Sb Te
2 6 12
Direct
0.7500 0.6723 0.9575 Sr
0.2500 0.3277 0.0425 Sr
0.7500 0.4034 0.5494 Sb
0.2500 0.5966 0.4506 Sb
0.7500 0.7233 0.2855 Sb
0.2500 0.2767 0.7145 Sb
0.7500 0.9696 0.8516 Sb
0.2500 0.0304 0.1484 Sb
0.7500 0.1733 0.5385 Te
0.2500 0.8267 0.4615 Te
0.7500 0.1596 0.0774 Te
0.2500 0.8404 0.9226 Te
0.7500 0.6725 0.6174 Te
0.2500 0.3275 0.3826 Te
0.7500 0.4973 0.2608 Te
0.2500 0.5027 0.7392 Te
0.7500 0.3874 0.8994 Te
0.2500 0.6126 0.1006 Te
0.7500 0.9301 0.2121 Te
0.2500 0.0699 0.7879 Te

[3]
SrSbTe2 PBE relaxed; SG = No. 123
1.0
-3.7910 -2.9957 2.6724
-1.3733 -2.4898 -4.7391
2.7527 -2.8564 0.7030
Sb Sr Te
1 1 2
Direct
0.5000 0.0000 0.5000 Sb
0.0000 0.5000 0.5000 Sr
0.0000 0.0000 0.0000 Te
0.5000 0.5000 0.0000 Te

[4]
SrSb2Te PBE relaxed; SG = No. 123
1.0
-0.9293 -4.1457 1.9566
3.6330 0.5515 2.8941
-3.3107 2.4806 3.6834
Sb Sr Te
2 1 1
Direct
0.0000 0.0000 0.0000 Sb
0.5000 0.5000 0.0000 Sb
0.5000 0.0000 0.5000 Sr
0.0000 0.5000 0.5000 Te

[5]
SrSbTe2 PBE relaxed; SG = No. 44
1.0
-3.4883 -2.3930 -5.2117
-5.4473 -3.8203 0.8879
2.7222 5.8631 1.8084
Sb Sr Te
1 1 2
Direct
0.5173 0.5173 0.0000 Sb
0.2549 0.7549 0.5000 Sr
0.9904 0.9904 0.0000 Te
0.7374 0.2374 0.5000 Te

[6]
SrSb2Te PBE relaxed; SG = No. 12
1.0
-2.9269 -5.8659 -2.2483
-2.1158 -6.2506 2.1172
-3.9995 2.5246 0.9656
Sb Sr Te
2 1 1
Direct
0.9852 0.9852 0.0459 Sb
0.5148 0.5148 0.4541 Sb
0.2500 0.2500 0.2500 Sr
0.7500 0.7500 0.7500 Te

[7]
Sr4Sb2Te PBE relaxed; SG = No. 141
1.0
0.3402 0.4514 -9.7714
-8.3025 -2.6156 4.4752
0.2880 8.2391 5.2757
Sr Sb Te
8 4 2
Direct
0.7772 0.1651 0.3879 Sr
0.7772 0.6121 0.3893 Sr
0.2228 0.6107 0.3879 Sr
0.2228 0.6121 0.8349 Sr
0.2772 0.1379 0.4151 Sr
0.2772 0.1393 0.8621 Sr
0.7228 0.1379 0.8607 Sr
0.7228 0.5849 0.8621 Sr
0.7500 0.3750 0.1250 Sb
0.2500 0.8750 0.6250 Sb
0.2500 0.3750 0.6250 Sb
0.7500 0.3750 0.6250 Sb
0.5000 0.7500 0.2500 Te
0.0000 0.0000 0.0000 Te

[8]
SrSbTe2 PBE relaxed; SG = No. 12
1.0
5.6962 0.0238 0.0411
-1.9858 5.3330 0.0097
1.7245 2.7131 4.6824
Sb Sr Te
1 1 2
Direct
0.0000 0.5000 0.5000 Sb
0.5000 0.5000 0.0000 Sr
0.0000 0.0000 0.0000 Te
0.5000 0.0000 0.5000 Te

| no. | formation energy (no corrections) (meV per atom) |
| --- | --- |
| 1 | -545 |
| 2 | -380 |
| 3 | -677 |
| 4 | -500 |
| 5 | -612 |
| 6 | -655 |
| 7 | -1127 |
| 8 | -622 |